(1)
The following is a DFT calculation (PBE) of an optimized crystal structure of BaSr2La2.

Calculated formation energy   0.2020 eV per atom
Size of the total moment   0.000 μB per cell
Density of states at the Fermi level   42.16 states/eV per cell
Calculated total energy   -2.8263 eV per atom

```
data_BaSr2La2
_cell_length_a 10.715
_cell_length_b 10.715
_cell_length_c 4.236
_cell_angle_alpha 90.00
_cell_angle_beta 90.00
_cell_angle_gamma 90.00
_space_group_name_H-M_alt 'P 4/m b m'
_space_group_IT_number 127
_space_group_name_Hall '-P 4 2ab'
loop_
_atom_site_label
_atom_site_type_symbol
_atom_site_fract_x
_atom_site_fract_y
_atom_site_fract_z
Ba1 Ba 0.000 0.000 0.000
Sr1 Sr 0.182 0.318 0.500
La1 La 0.109 0.609 0.000
```

---

(2)
The following is a DFT calculation (PBE) of an optimized crystal structure of BaSrLa2Tc.

Calculated formation energy   0.1173 eV per atom
Size of the total moment   0.000 μB per cell
Density of states at the Fermi level   6.32 states/eV per cell
Calculated total energy   -4.6478 eV per atom

```
data_BaSrLa2Tc
_cell_length_a 5.530
_cell_length_b 5.530
_cell_length_c 6.443
_cell_angle_alpha 90.00
_cell_angle_beta 90.00
_cell_angle_gamma 90.00
_space_group_name_H-M_alt 'P 4/m m m'
_space_group_IT_number 123
_space_group_name_Hall '-P 4 2'
loop_
_atom_site_label
_atom_site_type_symbol
_atom_site_fract_x
_atom_site_fract_y
_atom_site_fract_z
Ba1 Ba 0.000 0.000 0.000
Sr1 Sr 0.500 0.500 0.000
La1 La 0.000 0.500 0.500
Tc1 Tc 0.500 0.500 0.500
```

---

The highest calculated formation energy belongs to which entry?
BaSr2La2

---

density of states at the Fermi level of number 1 (BaSr2La2)?
42.16 states/eV per cell

---

Which formula does entry 1 have?
BaSr2La2

---

Look up the calculated formation energy of the second one.
0.1173 eV per atom